Here is LuMgPd after structural relaxation from Alexandria. Energies are from PBE-GGA.

POSCAR file:
```
LuMgPd
1.0
0.000 3.283 3.283
3.283 0.000 3.283
3.283 3.283 0.000
Lu Mg Pd
1 1 1
Cartesian
0.000 0.000 0.000
3.283 3.283 3.283
1.642 1.642 1.642
```

Output
**Formation energy from the elements**: -0.552 eV/atom

Here is ScTi3W after structural relaxation from Alexandria. Energies are from PBE-GGA.

POSCAR file:
```
ScTi3W
1.0
4.803 0.000 0.000
0.000 4.803 0.000
0.000 0.000 4.803
Sc Ti W
1 3 1
Cartesian
0.000 0.000 0.000
0.000 2.401 2.401
2.401 0.000 2.401
2.401 2.401 0.000
2.401 2.401 2.401
```

Output
**Energy relative to the lowest polymorph listed for this composition**: 0 meV per atom
**Formation energy from the elements**: 0.685 eV/atom

Here is BaAg3Sn after structural relaxation from Alexandria. Energies are from PBE-GGA.

POSCAR file:
```
BaAg3Sn
1.0
-2.916 5.074 4.749
2.916 -5.074 4.749
2.916 5.074 -4.749
Ba Ag Sn
2 6 2
Cartesian
0.000 2.537 0.416
2.916 2.537 4.333
2.916 2.537 -1.526
1.458 4.888 -2.375
1.458 -0.186 2.375
-1.458 5.260 2.375
1.458 5.260 2.375
0.000 2.537 6.275
2.916 0.000 0.000
0.000 0.000 4.749
```

Output
**Energy relative to the lowest polymorph listed for this composition**: 36 meV per atom
**Formation energy from the elements**: -0.225 eV/atom

Here is InSbP after structural relaxation from Alexandria. Energies are from PBE-GGA.

POSCAR file:
```
InSbP
1.0
5.259 0.000 0.000
1.357 5.735 0.000
1.156 1.383 5.820
In Sb P
2 2 2
Cartesian
0.000 0.000 0.000
1.330 1.989 1.602
4.304 3.268 5.026
5.746 5.265 3.437
2.790 1.566 3.749
5.105 4.089 1.270
```

Output
**Formation energy without anion corrections**: 30 kJ/mol of formula units
**Energy relative to the lowest polymorph listed for this composition**: 104 meV per atom

Here is KIr2Cl after structural relaxation from Alexandria. Energies are from PBE-GGA.

POSCAR file:
```
KIr2Cl
1.0
0.000 3.346 3.346
3.346 0.000 3.346
3.346 3.346 0.000
K Ir Cl
1 2 1
Cartesian
0.000 0.000 0.000
1.673 1.673 1.673
5.019 5.019 5.019
3.346 3.346 3.346
```

Output
**Formation energy without anion corrections**: 693 kJ/mol of formula units
**Energy relative to the lowest polymorph listed for this composition**: 1749 meV per atom

Here is InCoSb2 after structural relaxation from Alexandria. Energies are from PBE-GGA.

POSCAR file:
```
InCoSb2
1.0
2.979 -3.911 0.000
2.979 3.911 0.000
-1.642 0.000 4.065
In Co Sb
1 1 2
Cartesian
0.000 0.000 0.000
2.979 0.000 0.000
0.669 1.955 2.032
0.669 -1.955 2.032
```

Output
**Formation energy without anion corrections**: 174 kJ/mol of formula units

Here is CuAgPb2O after structural relaxation from Alexandria. Energies are from PBE-GGA.

POSCAR file:
```
CuAgPb2O
1.0
5.355 0.000 0.000
0.000 5.355 0.000
0.000 0.000 3.639
Cu Ag Pb O
1 1 2 1
Cartesian
0.000 0.000 0.000
2.677 2.677 0.000
0.000 2.677 1.820
2.677 0.000 1.820
0.000 0.000 1.820
```

Output
**Formation energy without anion corrections**: -94 kJ/mol of formula units

Here is GaCN2 after structural relaxation from Alexandria. Energies are from PBE-GGA.

POSCAR file:
```
GaCN2
1.0
-2.291 2.291 3.261
2.291 -2.291 3.261
2.291 2.291 -3.261
Ga C N
2 2 4
Cartesian
0.000 0.000 0.000
0.000 2.291 1.631
2.291 0.000 1.631
0.000 0.000 3.261
1.145 -0.579 2.446
1.712 1.145 0.815
1.145 2.870 -0.815
0.579 1.145 4.076
```

Output
**Formation energy without anion corrections**: 316 kJ/mol of formula units
**Energy relative to the lowest polymorph listed for this composition**: 611 meV per atom